No. 1
A relaxed structure of SnIr3Br, computed with PBE.

Computed properties:
Raw formation energy: 2.003 eV/atom
Spin magnetization: 3.11 μB per formula unit

Cell: 4.970 4.970 4.970 Å, 90.00 90.00 90.00°
Element x y z (fractional)
Sn: 0.000 0.000 0.000
Ir: 0.000 0.000 0.500
Ir: 0.000 0.500 0.000
Ir: 0.500 0.000 0.000
Br: 0.500 0.500 0.500


No. 2
A relaxed structure of ZnSbIr2, computed with PBE.

Computed properties:
Raw formation energy: 0.230 eV/atom
Spin magnetization: 0.00 μB per formula unit

Cell: 5.287 5.287 3.002 Å, 106.29 106.29 112.44°
Element x y z (fractional)
Zn: 0.000 0.000 0.000
Sb: 0.500 0.500 0.000
Ir: 0.000 0.500 0.500
Ir: 0.500 0.000 0.500


No. 3
A relaxed structure of MnAg2Au, computed with PBE.

Computed properties:
Spin magnetization: 4.05 μB per formula unit
Calculated formation energy: 0.1178 eV/atom

Cell: 2.856 4.934 4.943 Å, 90.00 92.01 90.00°
Element x y z (fractional)
Mn: 0.000 0.000 0.000
Ag: 0.249 0.500 0.754
Ag: 0.751 0.500 0.246
Au: 0.500 0.000 0.500